# 1
Below is crystalline NaAuI2 at its relaxed geometry, with properties calculated at the GGA-PBE level.

Properties
formation energy (no corrections) = -0.6274 eV/atom
magnetization = 0.000 μB per atom
space group = R-3m (166)
DOS at the Fermi energy = 0.00 states/eV per atom
DFT total energy = -2.5515 eV per atom
crystal system = trigonal

Cell lengths 8.755, 8.755, 8.755 Å; angles 33.02, 33.02, 33.02 degrees
Positions (direct):
Na  0.000  0.000  0.000
Au  0.500  0.500  0.500
I  0.396  0.396  0.396
I  0.604  0.604  0.604

***

# 2
Below is crystalline BeGaOs2 at its relaxed geometry, with properties calculated at the GGA-PBE level.

Properties
magnetization = 0.000 μB per atom
space group = I-42d (122)
DOS at the Fermi energy = 0.65 states/eV per atom
DFT total energy = -6.7762 eV per atom
crystal system = tetragonal
ΔE_f = 527 meV per atom

Cell lengths 8.772, 8.772, 8.772 Å; angles 154.51, 154.51, 36.36 degrees
Positions (direct):
Be  0.000  0.000  0.000
Be  0.750  0.250  0.500
Ga  0.250  0.750  0.500
Ga  0.500  0.500  0.000
Os  0.052  0.625  0.927
Os  0.375  0.302  0.427
Os  0.698  0.125  0.073
Os  0.875  0.948  0.573

***

# 3
Below is crystalline Er5Ga2Sn at its relaxed geometry, with properties calculated at the GGA-PBE level.

Properties
magnetization = 0.000 μB per atom
space group = I4/mcm (140)
DOS at the Fermi energy = 0.79 states/eV per atom
DFT total energy = -4.6890 eV per atom
crystal system = tetragonal
ΔE_f = -580 meV per atom

Cell lengths 8.748, 8.748, 8.748 Å; angles 127.05, 127.05, 78.17 degrees
Positions (direct):
Er  0.000  0.000  0.000
Er  0.017  0.517  0.822
Er  0.195  0.017  0.500
Er  0.305  0.805  0.822
Er  0.483  0.305  0.500
Er  0.500  0.500  0.000
Er  0.517  0.695  0.500
Er  0.695  0.195  0.178
Er  0.805  0.983  0.500
Er  0.983  0.483  0.178
Ga  0.132  0.368  0.500
Ga  0.368  0.868  0.236
Ga  0.632  0.132  0.764
Ga  0.868  0.632  0.500
Sn  0.250  0.250  0.000
Sn  0.750  0.750  0.000

***

# 4
Below is crystalline Ho4AlRh at its relaxed geometry, with properties calculated at the GGA-PBE level.

Properties
magnetization = 0.000 μB per atom
space group = F-43m (216)
DOS at the Fermi energy = 0.60 states/eV per atom
DFT total energy = -5.4337 eV per atom
crystal system = cubic
ΔE_f = -533 meV per atom

Cell lengths 9.484, 9.484, 9.484 Å; angles 60.00, 60.00, 60.00 degrees
Positions (direct):
Ho  0.056  0.056  0.444
Ho  0.056  0.444  0.056
Ho  0.056  0.444  0.444
Ho  0.186  0.186  0.814
Ho  0.186  0.814  0.186
Ho  0.186  0.814  0.814
Ho  0.193  0.602  0.602
Ho  0.444  0.056  0.056
Ho  0.444  0.056  0.444
Ho  0.444  0.444  0.056
Ho  0.602  0.193  0.602
Ho  0.602  0.602  0.193
Ho  0.602  0.602  0.602
Ho  0.814  0.186  0.186
Ho  0.814  0.186  0.814
Ho  0.814  0.814  0.186
Al  0.517  0.828  0.828
Al  0.828  0.517  0.828
Al  0.828  0.828  0.517
Al  0.828  0.828  0.828
Rh  0.392  0.392  0.392
Rh  0.392  0.392  0.823
Rh  0.392  0.823  0.392
Rh  0.823  0.392  0.392

***

# 5
Below is crystalline CdHg2B2O6 at its relaxed geometry, with properties calculated at the GGA-PBE level.

Properties
formation energy (no corrections) = -1.2621 eV/atom
magnetization = 0.000 μB per atom
space group = C2/m (12)
DOS at the Fermi energy = 0.14 states/eV per atom
DFT total energy = -5.3187 eV per atom
crystal system = monoclinic

Cell lengths 5.399, 5.399, 6.225 Å; angles 117.09, 117.09, 60.38 degrees
Positions (direct):
Cd  0.000  0.000  0.000
Hg  0.201  0.201  0.680
Hg  0.799  0.799  0.320
B  0.464  0.464  0.241
B  0.536  0.536  0.759
O  0.223  0.661  0.695
O  0.290  0.290  0.107
O  0.339  0.777  0.305
O  0.661  0.223  0.695
O  0.710  0.710  0.893
O  0.777  0.339  0.305

***

# 6
Below is crystalline Pr2SiO at its relaxed geometry, with properties calculated at the GGA-PBE level.

Properties
formation energy (no corrections) = -1.5214 eV/atom
magnetization = 0.000 μB per atom
space group = R-3m (166)
DOS at the Fermi energy = 0.41 states/eV per atom
DFT total energy = -6.5064 eV per atom
crystal system = trigonal

Cell lengths 6.997, 6.997, 6.997 Å; angles 32.52, 32.52, 32.52 degrees
Positions (direct):
Pr  0.239  0.239  0.239
Pr  0.761  0.761  0.761
Si  0.000  0.000  0.000
O  0.500  0.500  0.500

***

# 7
Below is crystalline Tb4Ho2Th5 at its relaxed geometry, with properties calculated at the GGA-PBE level.

Properties
magnetization = 0.000 μB per atom
space group = P2/m (10)
DOS at the Fermi energy = 1.60 states/eV per atom
DFT total energy = -5.7559 eV per atom
crystal system = monoclinic
ΔE_f = 133 meV per atom

Cell lengths 8.816, 3.468, 11.653 Å; angles 90.00, 94.60, 90.00 degrees
Positions (direct):
Tb  0.160  0.000  0.400
Tb  0.293  0.000  0.946
Tb  0.707  0.000  0.054
Tb  0.840  0.000  0.600
Ho  0.058  0.500  0.136
Ho  0.942  0.500  0.864
Th  0.204  0.500  0.674
Th  0.428  0.500  0.210
Th  0.500  0.500  0.500
Th  0.572  0.500  0.790
Th  0.796  0.500  0.326

***

# 8
Below is crystalline PrSm2ErSb4 at its relaxed geometry, with properties calculated at the GGA-PBE level.

Properties
formation energy (no corrections) = -1.1516 eV/atom
magnetization = 0.000 μB per atom
space group = P2/m (10)
DOS at the Fermi energy = 0.13 states/eV per atom
DFT total energy = -5.5603 eV per atom
crystal system = monoclinic

Cell lengths 7.730, 4.468, 7.734 Å; angles 90.00, 109.48, 90.00 degrees
Positions (direct):
Pr  0.000  0.000  0.000
Sm  0.000  0.500  0.500
Sm  0.500  0.000  0.500
Er  0.500  0.500  0.000
Sb  0.256  0.500  0.251
Sb  0.257  0.000  0.753
Sb  0.743  0.000  0.247
Sb  0.744  0.500  0.749

***

# 9
Below is crystalline MgPPt2 at its relaxed geometry, with properties calculated at the GGA-PBE level.

Properties
magnetization = 0.000 μB per atom
space group = I-42d (122)
DOS at the Fermi energy = 0.58 states/eV per atom
DFT total energy = -5.1719 eV per atom
crystal system = tetragonal
ΔE_f = -400 meV per atom

Cell lengths 8.725, 8.725, 8.725 Å; angles 153.19, 153.19, 38.28 degrees
Positions (direct):
Mg  0.000  0.000  0.000
Mg  0.750  0.250  0.500
P  0.250  0.750  0.500
P  0.500  0.500  0.000
Pt  0.155  0.625  0.030
Pt  0.375  0.405  0.530
Pt  0.595  0.125  0.970
Pt  0.875  0.845  0.470

***

# 10
Below is crystalline ErPaTeC at its relaxed geometry, with properties calculated at the GGA-PBE level.

Properties
formation energy (no corrections) = -0.7699 eV/atom
magnetization = 0.000 μB per atom
space group = R3m (160)
DOS at the Fermi energy = 0.29 states/eV per atom
DFT total energy = -7.3760 eV per atom
crystal system = trigonal

Cell lengths 7.415, 7.415, 7.415 Å; angles 29.49, 29.49, 29.49 degrees
Positions (direct):
Er  0.000  0.000  0.000
Pa  0.788  0.788  0.788
Te  0.229  0.229  0.229
C  0.401  0.401  0.401

***

# 11
Below is crystalline DyY2NpO8 at its relaxed geometry, with properties calculated at the GGA-PBE level.

Properties
formation energy (no corrections) = -3.1778 eV/atom
magnetization = 0.000 μB per atom
space group = Cmmm (65)
DFT total energy = -9.0225 eV per atom
crystal system = orthorhombic

Cell lengths 5.100, 5.100, 7.000 Å; angles 90.00, 90.00, 90.96 degrees
Positions (direct):
Dy  0.000  0.000  0.000
Y  0.500  0.500  0.240
Y  0.500  0.500  0.760
Np  0.000  0.000  0.500
O  0.182  0.818  0.277
O  0.182  0.818  0.723
O  0.281  0.281  0.500
O  0.307  0.307  0.000
O  0.693  0.693  0.000
O  0.719  0.719  0.500
O  0.818  0.182  0.277
O  0.818  0.182  0.723

***

# 12
Below is crystalline Tb8ErTm5 at its relaxed geometry, with properties calculated at the GGA-PBE level.

Properties
magnetization = 0.000 μB per atom
space group = I-4 (82)
DOS at the Fermi energy = 1.51 states/eV per atom
DFT total energy = -4.3093 eV per atom
crystal system = tetragonal
ΔE_f = 259 meV per atom

Cell lengths 8.380, 8.380, 8.380 Å; angles 111.01, 111.01, 106.43 degrees
Positions (direct):
Tb  0.158  0.421  0.084
Tb  0.337  0.074  0.916
Tb  0.420  0.164  0.394
Tb  0.579  0.663  0.736
Tb  0.770  0.026  0.606
Tb  0.836  0.230  0.255
Tb  0.926  0.842  0.264
Tb  0.974  0.580  0.745
Er  0.250  0.750  0.500
Tm  0.000  0.000  0.000
Tm  0.218  0.315  0.682
Tm  0.464  0.782  0.097
Tm  0.633  0.536  0.318
Tm  0.685  0.367  0.903